1.
VASP calculation (GGA-PBE) on crystalline SrLiIr at its relaxed geometry.

a b c (Å): 6.648 6.648 6.648
angles (deg): 90.00 90.00 90.00
Space group F-43m (No. 216)
Unique sites:
Sr 0.000 0.000 0.000
Li 0.000 0.000 0.500
Ir 0.250 0.250 0.750

Spin magnetization ... 0.000 μB per atom

***

2.
VASP calculation (GGA-PBE) on crystalline SrLiIr at its relaxed geometry.

a b c (Å): 6.720 6.720 6.720
angles (deg): 90.00 90.00 90.00
Space group F-43m (No. 216)
Unique sites:
Sr 0.000 0.000 0.000
Li 0.250 0.250 0.250
Ir 0.250 0.250 0.750

Spin magnetization ... 0.000 μB per atom

***

Which structure loses on stability? 2 does.

***

1.
VASP calculation (GGA-PBE) on crystalline SrLiTeIr at its relaxed geometry.

a b c (Å): 7.167 7.167 7.167
angles (deg): 90.00 90.00 90.00
Space group F-43m (No. 216)
Unique sites:
Sr 0.000 0.000 0.000
Li 0.000 0.000 0.500
Te 0.250 0.250 0.750
Ir 0.250 0.250 0.250

Spin magnetization ... 0.017 μB per atom

***

2.
VASP calculation (GGA-PBE) on crystalline SrLiTeIr at its relaxed geometry.

a b c (Å): 6.941 6.941 6.941
angles (deg): 90.00 90.00 90.00
Space group F-43m (No. 216)
Unique sites:
Sr 0.000 0.000 0.000
Li 0.250 0.250 0.250
Te 0.250 0.250 0.750
Ir 0.000 0.000 0.500

Spin magnetization ... 0.002 μB per atom

***

3.
VASP calculation (GGA-PBE) on crystalline SrLiTeIr at its relaxed geometry.

a b c (Å): 6.904 6.904 6.904
angles (deg): 90.00 90.00 90.00
Space group F-43m (No. 216)
Unique sites:
Sr 0.000 0.000 0.000
Li 0.250 0.250 0.250
Te 0.000 0.000 0.500
Ir 0.250 0.250 0.750

Spin magnetization ... 0.000 μB per atom

***

Which structure loses on stability? 1 does.

***

1.
VASP calculation (GGA-PBE) on crystalline SrLiIrW at its relaxed geometry.

a b c (Å): 6.676 6.676 6.676
angles (deg): 90.00 90.00 90.00
Space group F-43m (No. 216)
Unique sites:
Sr 0.000 0.000 0.000
Li 0.250 0.250 0.750
Ir 0.250 0.250 0.250
W 0.000 0.000 0.500

Spin magnetization ... 0.000 μB per atom

***

2.
VASP calculation (GGA-PBE) on crystalline SrLiIrW at its relaxed geometry.

a b c (Å): 6.544 6.544 6.544
angles (deg): 90.00 90.00 90.00
Space group F-43m (No. 216)
Unique sites:
Sr 0.000 0.000 0.000
Li 0.250 0.250 0.750
Ir 0.000 0.000 0.500
W 0.250 0.250 0.250

Spin magnetization ... 0.000 μB per atom

***

Which structure loses on stability? 1 does.

***

1.
VASP calculation (GGA-PBE) on crystalline LiTaIr2 at its relaxed geometry.

a b c (Å): 4.2716 4.2716 8.3806
angles (deg): 90.00 90.00 120.00
Space group P6_3/mmc (No. 194)
Unique sites:
Li 0.3333 0.6667 0.2500
Ta 0.0000 0.0000 0.0000
Ir 0.3333 0.6667 0.6019

Spin magnetization ... 0.000 μB per atom

***

2.
VASP calculation (GGA-PBE) on crystalline LiTaIr2 at its relaxed geometry.

a b c (Å): 4.1833 4.1833 8.1367
angles (deg): 90.00 90.00 120.00
Space group P6_3/mmc (No. 194)
Unique sites:
Li 0.0000 0.0000 0.2500
Ta 0.3333 0.6667 0.2500
Ir 0.3333 0.6667 0.5882

Spin magnetization ... 0.000 μB per atom

***

3.
VASP calculation (GGA-PBE) on crystalline LiTaIr2 at its relaxed geometry.

a b c (Å): 4.1086 4.1086 8.3801
angles (deg): 90.00 90.00 120.00
Space group P6_3/mmc (No. 194)
Unique sites:
Li 0.0000 0.0000 0.0000
Ta 0.3333 0.6667 0.2500
Ir 0.3333 0.6667 0.5971

Spin magnetization ... 0.001 μB per atom

***

Which structure loses on stability? 2 does.

***

1.
VASP calculation (GGA-PBE) on crystalline LiTaIr2 at its relaxed geometry.

a b c (Å): 4.210 4.210 3.289
angles (deg): 90.00 90.00 90.00
Space group P4/mmm (No. 123)
Unique sites:
Li 0.000 0.000 0.000
Ta 0.500 0.500 0.000
Ir 0.000 0.500 0.500

Spin magnetization ... 0.000 μB per atom

***

2.
VASP calculation (GGA-PBE) on crystalline LiTaIr2 at its relaxed geometry.

a b c (Å): 3.155 3.155 5.837
angles (deg): 90.00 90.00 90.00
Space group P4/mmm (No. 123)
Unique sites:
Li 0.000 0.000 0.000
Ta 0.000 0.000 0.500
Ir 0.500 0.500 0.240

Spin magnetization ... 0.000 μB per atom

***

Which structure loses on stability? 1 does.

***

1.
VASP calculation (GGA-PBE) on crystalline LiZnIrW at its relaxed geometry.

a b c (Å): 6.053 6.053 6.053
angles (deg): 90.00 90.00 90.00
Space group F-43m (No. 216)
Unique sites:
Li 0.000 0.000 0.000
Zn 0.250 0.250 0.750
Ir 0.000 0.000 0.500
W 0.250 0.250 0.250

Spin magnetization ... 0.000 μB per atom

***

2.
VASP calculation (GGA-PBE) on crystalline LiZnIrW at its relaxed geometry.

a b c (Å): 6.003 6.003 6.003
angles (deg): 90.00 90.00 90.00
Space group F-43m (No. 216)
Unique sites:
Li 0.000 0.000 0.000
Zn 0.000 0.000 0.500
Ir 0.250 0.250 0.750
W 0.250 0.250 0.250

Spin magnetization ... 0.111 μB per atom

***

Which structure loses on stability? 2 does.

***

1.
VASP calculation (GGA-PBE) on crystalline LiZn2Ir at its relaxed geometry.

a b c (Å): 5.993 6.064 6.012
angles (deg): 90.00 90.00 90.00
Space group Imma (No. 74)
Unique sites:
Li 0.000 0.250 0.249
Zn 0.249 0.000 0.500
Ir 0.000 0.250 0.751

Spin magnetization ... 0.000 μB per atom

***

2.
VASP calculation (GGA-PBE) on crystalline LiZn2Ir at its relaxed geometry.

a b c (Å): 5.958 5.958 5.958
angles (deg): 90.00 90.00 90.00
Space group F-43m (No. 216)
Unique sites:
Li 0.000 0.000 0.000
Zn 0.000 0.000 0.500
Zn 0.250 0.250 0.750
Ir 0.250 0.250 0.250

Spin magnetization ... 0.000 μB per atom

***

3.
VASP calculation (GGA-PBE) on crystalline LiZn2Ir at its relaxed geometry.

a b c (Å): 6.023 6.023 6.023
angles (deg): 90.00 90.00 90.00
Space group Fm-3m (No. 225)
Unique sites:
Li 0.000 0.000 0.000
Zn 0.250 0.250 0.250
Ir 0.000 0.000 0.500

Spin magnetization ... 0.000 μB per atom

***

Which structure loses on stability? 2 does.

***

1.
VASP calculation (GGA-PBE) on crystalline LiZn2Ir at its relaxed geometry.

a b c (Å): 4.271 4.271 2.996
angles (deg): 90.00 90.00 90.00
Space group P4/mmm (No. 123)
Unique sites:
Li 0.000 0.000 0.000
Zn 0.000 0.500 0.500
Ir 0.500 0.500 0.000

Spin magnetization ... 0.000 μB per atom

***

2.
VASP calculation (GGA-PBE) on crystalline LiZn2Ir at its relaxed geometry.

a b c (Å): 4.1577 4.1577 7.5456
angles (deg): 90.00 90.00 120.00
Space group P6_3/mmc (No. 194)
Unique sites:
Li 0.0000 0.0000 0.0000
Zn 0.3333 0.6667 0.0919
Ir 0.3333 0.6667 0.7500

Spin magnetization ... 0.000 μB per atom

***

Which structure loses on stability? 2 does.

***

1.
VASP calculation (GGA-PBE) on crystalline LiZn2Ir at its relaxed geometry.

a b c (Å): 4.251 4.251 6.054
angles (deg): 90.00 90.00 90.00
Space group I4/mmm (No. 139)
Unique sites:
Li 0.000 0.000 0.000
Zn 0.000 0.500 0.250
Ir 0.000 0.000 0.500

Spin magnetization ... 0.000 μB per atom

***

2.
VASP calculation (GGA-PBE) on crystalline LiZn2Ir at its relaxed geometry.

a b c (Å): 4.1498 4.1498 7.3651
angles (deg): 90.00 90.00 120.00
Space group P6_3/mmc (No. 194)
Unique sites:
Li 0.3333 0.6667 0.2500
Zn 0.3333 0.6667 0.5797
Ir 0.0000 0.0000 0.2500

Spin magnetization ... 0.001 μB per atom

***

Which structure loses on stability? 2 does.

***

1.
VASP calculation (GGA-PBE) on crystalline LuMgSnIr at its relaxed geometry.

a b c (Å): 6.726 6.726 6.726
angles (deg): 90.00 90.00 90.00
Space group F-43m (No. 216)
Unique sites:
Lu 0.000 0.000 0.000
Mg 0.250 0.250 0.750
Sn 0.000 0.000 0.500
Ir 0.250 0.250 0.250

Spin magnetization ... 0.000 μB per atom

***

2.
VASP calculation (GGA-PBE) on crystalline LuMgSnIr at its relaxed geometry.

a b c (Å): 6.834 6.834 6.834
angles (deg): 90.00 90.00 90.00
Space group F-43m (No. 216)
Unique sites:
Lu 0.000 0.000 0.000
Mg 0.000 0.000 0.500
Sn 0.250 0.250 0.250
Ir 0.250 0.250 0.750

Spin magnetization ... 0.001 μB per atom

***

Which structure loses on stability? 2 does.

***

1.
VASP calculation (GGA-PBE) on crystalline NaLuIr at its relaxed geometry.

a b c (Å): 6.534 6.534 6.534
angles (deg): 90.00 90.00 90.00
Space group F-43m (No. 216)
Unique sites:
Na 0.000 0.000 0.000
Lu 0.250 0.250 0.750
Ir 0.000 0.000 0.500

Spin magnetization ... 0.003 μB per atom

***

2.
VASP calculation (GGA-PBE) on crystalline NaLuIr at its relaxed geometry.

a b c (Å): 6.552 6.552 6.552
angles (deg): 90.00 90.00 90.00
Space group F-43m (No. 216)
Unique sites:
Na 0.000 0.000 0.000
Lu 0.000 0.000 0.500
Ir 0.250 0.250 0.750

Spin magnetization ... 0.001 μB per atom

***

Which structure loses on stability? 1 does.